The following is a DFT calculation (PBE) of a geometry-optimized ZrReP2 structure.

Cell: 7.9513 7.9513 7.9513 Å, 22.45 22.45 22.45°
Closest atoms and distances in Å follow each position.
Atoms (fractional coordinates):
Zr: 0.7500 0.7500 0.7500  6 P 2.82, 6 Zr 3.10
P: 0.5104 0.5104 0.5104  3 Re 2.46
Re: 0.2500 0.2500 0.2500  6 P 2.46
P: 0.9896 0.9896 0.9896  3 Re 2.46

Energy = -0.5992 Ry/atom
Polymorph energy (0 for the lowest one) = 532.0 meV/atom
ΔH_f (0 K) = -0.1986 eV per atom